Ca3Ho | GGA-PBE | relaxed

Calculated values
SG	Imm2, No. 44
V	153.5	Å³/cell
magnetic moment	1.08	μB per formula unit
E	-10.09	eV per formula unit
E above lowest polymorph	0	meV/atom

Cell: 7.3002 7.3002 7.3002 Å, 150.36 62.45 126.40°
Last column: nearest neighbours and their distance in Å.
Sites, in units of the cell vectors:
1 Ca 0.0000 0.0000 0.0000  8 Ca 3.73-3.85, 4 Ho 3.78
2 Ca 0.4230 0.6683 0.7546  9 Ca 3.73-3.85, 3 Ho 3.75-3.86
3 Ca 0.9137 0.6683 0.2454  9 Ca 3.73-3.85, 3 Ho 3.75-3.86
4 Ho 0.5001 0.0001 0.5000  2 Ho 3.73, 10 Ca 3.75-3.86